No. 1
MgAlCr2: relaxed, PBE.

Unit cell a=4.166 b=3.660 c=3.660 alpha=90.00 beta=90.00 gamma=90.00
Fractional coordinates of all 4 atoms:
Al 0.500 0.000 0.500
Cr 0.000 0.000 0.000
Cr 0.000 0.500 0.500
Mg 0.500 0.500 0.000

Summary:
- space-group type = P4/mmm (123)
- Fermi-level density of states (states/eV per atom) = 0.829

No. 2
Mg16Al12Cr: relaxed, PBE.

Unit cell a=9.052 b=9.052 c=9.052 alpha=109.26 beta=109.26 gamma=109.26
Fractional coordinates of all 29 atoms:
Mg 0.294 0.592 0.592
Mg 0.654 0.002 0.002
Mg 0.717 0.318 0.318
Mg 0.993 0.993 0.993
Mg 0.003 0.402 0.684
Mg 0.592 0.294 0.592
Mg 0.402 0.684 0.003
Mg 0.002 0.654 0.002
Mg 0.318 0.318 0.717
Mg 0.684 0.003 0.402
Mg 0.684 0.402 0.003
Mg 0.318 0.717 0.318
Mg 0.002 0.002 0.654
Mg 0.402 0.003 0.684
Mg 0.592 0.592 0.294
Mg 0.003 0.684 0.402
Al 0.828 0.641 0.641
Al 0.190 0.814 0.814
Al 0.003 0.186 0.366
Al 0.366 0.003 0.186
Al 0.641 0.641 0.828
Al 0.186 0.003 0.366
Al 0.814 0.814 0.190
Al 0.814 0.190 0.814
Al 0.186 0.366 0.003
Al 0.641 0.828 0.641
Al 0.366 0.186 0.003
Al 0.003 0.366 0.186
Cr 0.303 0.303 0.303

Summary:
- space-group type = R3m (160)
- Fermi-level density of states (states/eV per atom) = 0.336

No. 3
MgAlCr2: relaxed, PBE.

Unit cell a=5.070 b=5.070 c=5.070 alpha=144.51 beta=127.83 gamma=64.69
Fractional coordinates of all 4 atoms:
Al 0.236 0.736 0.500
Cr 0.975 0.975 0.000
Cr 0.778 0.278 0.500
Mg 0.511 0.511 0.000

Summary:
- space-group type = Imm2 (44)
- Fermi-level density of states (states/eV per atom) = 0.623

No. 4
MgAlCr2: relaxed, PBE.

Unit cell a=4.406 b=4.406 c=4.406 alpha=60.00 beta=60.00 gamma=60.00
Fractional coordinates of all 4 atoms:
Al 0.500 0.500 0.500
Cr 0.000 0.000 0.000
Cr 0.250 0.250 0.250
Mg 0.750 0.750 0.750

Summary:
- space-group type = F-43m (216)
- Fermi-level density of states (states/eV per atom) = 1.009

No. 5
MgAlCr2: relaxed, PBE.

Unit cell a=4.904 b=4.904 c=4.904 alpha=136.15 beta=136.15 gamma=63.74
Fractional coordinates of all 4 atoms:
Al 0.750 0.250 0.500
Cr 0.000 0.000 0.000
Cr 0.500 0.500 0.000
Mg 0.250 0.750 0.500

Summary:
- space-group type = I4/mmm (139)
- Fermi-level density of states (states/eV per atom) = 0.978

No. 6
MgAl2Cr: relaxed, PBE.

Unit cell a=2.728 b=2.728 c=8.562 alpha=90.00 beta=90.00 gamma=96.56
Fractional coordinates of all 4 atoms:
Al 0.000 0.000 0.014
Al 0.500 0.500 0.270
Cr 0.000 0.000 0.484
Mg 0.500 0.500 0.733

Summary:
- space-group type = Cmm2 (35)
- Fermi-level density of states (states/eV per atom) = 0.836

No. 7
MgAlCr2: relaxed, PBE.

Unit cell a=2.580 b=2.580 c=8.408 alpha=90.00 beta=90.00 gamma=90.00
Fractional coordinates of all 4 atoms:
Al 0.500 0.500 0.750
Cr 0.000 0.000 0.983
Cr 0.000 0.000 0.517
Mg 0.500 0.500 0.250

Summary:
- space-group type = P4/mmm (123)
- Fermi-level density of states (states/eV per atom) = 0.710

No. 8
MgAlCr2: relaxed, PBE.

Unit cell a=6.862 b=6.862 c=5.491 alpha=51.33 beta=51.33 gamma=90.00
Fractional coordinates of all 8 atoms:
Cr 0.640 0.125 0.250
Cr 0.110 0.625 0.250
Cr 0.375 0.360 0.750
Cr 0.875 0.890 0.750
Mg 0.500 0.500 0.000
Mg 0.250 0.750 0.500
Al 0.000 0.000 0.000
Al 0.750 0.250 0.500

Summary:
- space-group type = I-42d (122)
- Fermi-level density of states (states/eV per atom) = 1.027

No. 9
Mg14AlCr: relaxed, PBE.

Unit cell a=6.290 b=6.290 c=10.168 alpha=90.00 beta=90.00 gamma=120.00
Fractional coordinates of all 16 atoms:
Mg 0.999 0.499 0.000
Mg 0.001 0.500 0.500
Mg 0.501 0.001 0.000
Mg 0.500 0.999 0.500
Mg 0.501 0.499 0.000
Mg 0.500 0.500 0.500
Mg 0.163 0.837 0.252
Mg 0.163 0.837 0.748
Mg 0.163 0.326 0.252
Mg 0.163 0.326 0.748
Mg 0.674 0.837 0.252
Mg 0.674 0.837 0.748
Mg 0.667 0.333 0.250
Mg 0.667 0.333 0.750
Al 0.000 0.000 0.000
Cr 0.000 0.000 0.500

Summary:
- space-group type = P-6m2 (187)
- Fermi-level density of states (states/eV per atom) = 0.456

No. 10
MgAlCr2: relaxed, PBE.

Unit cell a=4.247 b=2.604 c=5.315 alpha=75.99 beta=90.00 gamma=90.00
Fractional coordinates of all 4 atoms:
Al 0.500 0.750 0.750
Cr 0.000 0.038 0.963
Cr 0.000 0.462 0.537
Mg 0.500 0.250 0.250

Summary:
- space-group type = P2/m (10)
- Fermi-level density of states (states/eV per atom) = 0.921

No. 11
MgAlCrNi2: relaxed, PBE.

Unit cell a=4.331 b=4.550 c=4.331 alpha=90.00 beta=90.00 gamma=90.00
Fractional coordinates of all 5 atoms:
Ni 0.000 0.000 0.500
Ni 0.500 0.000 0.000
Mg 0.500 0.500 0.500
Al 0.000 0.500 0.000
Cr 0.000 0.000 0.000

Summary:
- space-group type = P4/mmm (123)
- Fermi-level density of states (states/eV per atom) = 1.037

No. 12
MgAlCrOs: relaxed, PBE.

Unit cell a=4.311 b=4.311 c=4.311 alpha=60.00 beta=60.00 gamma=60.00
Fractional coordinates of all 4 atoms:
Cr 0.750 0.750 0.750
Mg 0.000 0.000 0.000
Os 0.500 0.500 0.500
Al 0.250 0.250 0.250

Summary:
- space-group type = F-43m (216)
- Fermi-level density of states (states/eV per atom) = 0.624

No. 13
MgAlCrRe: relaxed, PBE.

Unit cell a=4.322 b=4.322 c=4.322 alpha=60.00 beta=60.00 gamma=60.00
Fractional coordinates of all 4 atoms:
Re 0.750 0.750 0.750
Mg 0.250 0.250 0.250
Al 0.500 0.500 0.500
Cr 0.000 0.000 0.000

Summary:
- space-group type = F-43m (216)
- Fermi-level density of states (states/eV per atom) = 0.211

No. 14
MgAlCrRh: relaxed, PBE.

Unit cell a=4.373 b=4.373 c=4.373 alpha=60.00 beta=60.00 gamma=60.00
Fractional coordinates of all 4 atoms:
Cr 0.250 0.250 0.250
Mg 0.500 0.500 0.500
Rh 0.750 0.750 0.750
Al 0.000 0.000 0.000

Summary:
- space-group type = F-43m (216)
- Fermi-level density of states (states/eV per atom) = 0.412

No. 15
Mg2Al3CrS8: relaxed, PBE.

Unit cell a=7.217 b=7.246 c=7.217 alpha=60.13 beta=60.00 gamma=60.13
Fractional coordinates of all 14 atoms:
S 0.737 0.738 0.737
S 0.263 0.262 0.713
S 0.262 0.714 0.262
S 0.713 0.262 0.263
S 0.738 0.286 0.738
S 0.287 0.738 0.737
S 0.263 0.262 0.263
S 0.737 0.738 0.287
Cr 0.500 0.000 0.500
Mg 0.874 0.877 0.874
Mg 0.126 0.123 0.126
Al 0.500 0.500 0.500
Al 0.500 0.500 0.000
Al 0.000 0.500 0.500

Summary:
- energy relative to the elements, uncorrected (eV/atom) = -1.12
- space-group type = R-3m (166)

No. 16
Mg2ScAlCr: relaxed, PBE.

Unit cell a=4.885 b=4.718 c=4.885 alpha=90.00 beta=90.00 gamma=90.00
Fractional coordinates of all 5 atoms:
Sc 0.500 0.500 0.500
Cr 0.000 0.000 0.000
Mg 0.000 0.000 0.500
Mg 0.500 0.000 0.000
Al 0.000 0.500 0.000

Summary:
- space-group type = P4/mmm (123)
- Fermi-level density of states (states/eV per atom) = 0.339

No. 17
MgScAlCr: relaxed, PBE.

Unit cell a=4.687 b=4.687 c=4.687 alpha=60.00 beta=60.00 gamma=60.00
Fractional coordinates of all 4 atoms:
Sc 0.000 0.000 0.000
Cr 0.500 0.500 0.500
Mg 0.750 0.750 0.750
Al 0.250 0.250 0.250

Summary:
- space-group type = F-43m (216)
- Fermi-level density of states (states/eV per atom) = 0.465

No. 18
Mg2TaAlCr: relaxed, PBE.

Unit cell a=4.940 b=4.423 c=4.940 alpha=90.00 beta=90.00 gamma=90.00
Fractional coordinates of all 5 atoms:
Cr 0.000 0.000 0.000
Mg 0.000 0.000 0.500
Mg 0.500 0.000 0.000
Al 0.500 0.500 0.500
Ta 0.000 0.500 0.000

Summary:
- space-group type = P4/mmm (123)
- Fermi-level density of states (states/eV per atom) = 0.806

No. 19
MgAlZnCr: relaxed, PBE.

Unit cell a=4.507 b=4.507 c=4.507 alpha=60.00 beta=60.00 gamma=60.00
Fractional coordinates of all 4 atoms:
Mg 0.250 0.250 0.250
Cr 0.750 0.750 0.750
Zn 0.000 0.000 0.000
Al 0.500 0.500 0.500

Summary:
- space-group type = F-43m (216)
- Fermi-level density of states (states/eV per atom) = 0.536

No. 20
MgAl2ZnCr: relaxed, PBE.

Unit cell a=4.915 b=4.679 c=4.915 alpha=90.00 beta=90.00 gamma=90.00
Fractional coordinates of all 5 atoms:
Mg 0.000 0.000 0.000
Cr 0.500 0.500 0.500
Zn 0.000 0.500 0.000
Al 0.000 0.000 0.500
Al 0.500 0.000 0.000

Summary:
- space-group type = P4/mmm (123)
- Fermi-level density of states (states/eV per atom) = 1.281

no.,E (eV per atom)
1,-5.797
2,-2.761
3,-5.981
4,-5.985
5,-5.798
6,-4.465
7,-5.848
8,-5.297
9,-2.161
10,-5.859
11,-4.581
12,-6.595
13,-6.837
14,-5.917
15,-5.193
16,-4.032
17,-5.352
18,-4.713
19,-3.982
20,-2.458